Below is a relaxed Ce4AlCd crystal, with properties calculated at the PBE-GGA level.

Calculated values
The energy above the most stable polymorph in this dataset is 0.0 meV/atom. The formation enthalpy at 0 K is -149 meV/atom. As for the electronic total energy: -29.287 eV per formula unit. The magnetic moment comes out at 1.118 μB/cell.

a = 5.344 Å, b = 5.889 Å, c = 8.935 Å
α = 90.00°, β = 90.00°, γ = 90.00°
Space group Immm (No. 71)
Asymmetric unit:
Ce1 0.000 0.246 0.156 [8 per cell]
Al1 0.000 0.500 0.500 [2 per cell]
Cd1 0.000 0.000 0.500 [2 per cell]

=====

Below is a relaxed Ce2Al3Cd crystal, with properties calculated at the PBE-GGA level.

Calculated values
The formation enthalpy at 0 K is -394 meV/atom. As for the electronic total energy: -26.372 eV per formula unit. The magnetic moment comes out at 2.688 μB/cell.

a = 5.8111 Å, b = 5.8111 Å, c = 8.8924 Å
α = 90.00°, β = 90.00°, γ = 120.00°
Space group P6_3/mmc (No. 194)
Asymmetric unit:
Ce1 0.3333 0.6667 0.0933 [4 per cell]
Al1 0.1762 0.3524 0.7500 [6 per cell]
Cd1 0.0000 0.0000 0.0000 [2 per cell]

=====

Number 1: theoretical density 8.3 g/cm3. Number 2: theoretical density 6.0 g/cm3.